# 1
TaTlSi at its PBEsol-relaxed geometry. Source: Alexandria, functional SCAN.

Geometry as extended XYZ:
```
3
Lattice="2.923 0.035 0.000 -0.686 2.842 0.000 -1.119 -1.438 6.979" Properties=species:S:1:pos:R:3 pbc="T T T"
Si 0.000 0.000 0.273
Ta 1.119 1.438 2.106
Tl 0.000 0.000 4.600
```

# 2
Ta2V3Si at its PBEsol-relaxed geometry. Source: Alexandria, functional SCAN.

Geometry as extended XYZ:
```
12
Lattice="-4.195 0.815 2.341 4.093 -0.769 2.531 1.564 8.174 -0.045" Properties=species:S:1:pos:R:3 pbc="T T T"
Ta 2.209 4.354 2.442
Ta -0.748 3.867 2.385
Ta -1.336 0.795 2.402
Ta 2.797 7.426 2.426
V 3.068 1.545 2.487
V 1.022 1.943 3.629
V 1.072 1.920 1.253
V -1.607 6.675 2.340
V 0.439 6.278 1.199
V 0.389 6.300 3.574
Si 0.000 0.000 0.000
Si 0.782 4.087 -0.022
```

# 3
Ta2Si2W at its PBEsol-relaxed geometry. Source: Alexandria, functional SCAN.

Geometry as extended XYZ:
```
10
Lattice="3.517 0.000 0.000 0.000 6.530 0.000 0.000 0.000 6.530" Properties=species:S:1:pos:R:3 pbc="T T T"
Si 0.000 2.410 5.675
Si 0.000 5.675 4.119
Si 0.000 4.119 0.854
Si 0.000 0.854 2.410
W 0.000 0.000 0.000
W 0.000 3.265 3.265
Ta 1.758 1.099 4.364
Ta 1.758 4.364 5.431
Ta 1.758 5.431 2.166
Ta 1.758 2.166 1.099
```

# 4
Ta2SiW at its PBEsol-relaxed geometry. Source: Alexandria, functional SCAN.

Geometry as extended XYZ:
```
4
Lattice="3.491 0.000 0.000 0.000 4.262 0.000 0.000 0.000 4.262" Properties=species:S:1:pos:R:3 pbc="T T T"
Si 1.745 0.000 0.000
Ta 0.000 0.000 2.131
Ta 0.000 2.131 0.000
W 1.745 2.131 2.131
```

# 5
TaSiW2 at its PBEsol-relaxed geometry. Source: Alexandria, functional SCAN.

Geometry as extended XYZ:
```
4
Lattice="-1.735 -2.069 -0.600 3.895 -1.427 -2.961 0.588 -0.617 5.114" Properties=species:S:1:pos:R:3 pbc="T T T"
Si 1.948 -0.713 -1.481
Ta -0.867 -1.034 -0.300
W 1.374 -2.056 0.776
W 0.294 -0.308 2.557
```

# 6
TaSiW2 at its PBEsol-relaxed geometry. Source: Alexandria, functional SCAN.

Geometry as extended XYZ:
```
4
Lattice="-1.390 -2.918 -0.371 3.882 -1.715 -1.063 -0.501 1.434 4.862" Properties=species:S:1:pos:R:3 pbc="T T T"
Si 2.677 -1.728 3.563
Ta 0.377 -0.446 2.094
W 1.948 -0.866 -0.490
W 1.616 -2.755 1.344
```

# 7
TaSi2W at its PBEsol-relaxed geometry. Source: Alexandria, functional SCAN.

Geometry as extended XYZ:
```
4
Lattice="-0.748 -3.537 2.274 3.084 -0.334 -2.936 3.178 -1.221 2.579" Properties=species:S:1:pos:R:3 pbc="T T T"
Si 4.322 -2.935 0.869
Si 1.191 -2.157 1.048
Ta 3.131 -0.777 -0.179
W 0.000 0.000 0.000
```

## Properties
- offset from the most stable computed form (eV per formula unit) = 0.21

# 8
Ta2SiW at its PBEsol-relaxed geometry. Source: Alexandria, functional SCAN.

Geometry as extended XYZ:
```
4
Lattice="-0.496 2.719 -0.153 -0.576 -0.257 -2.695 -8.024 -1.360 1.844" Properties=species:S:1:pos:R:3 pbc="T T T"
Si -6.512 0.218 -0.051
Ta -7.809 -1.323 1.794
Ta -2.593 0.882 -0.951
W -4.218 -0.715 0.969
```

# 9
Ta2SiW at its PBEsol-relaxed geometry. Source: Alexandria, functional SCAN.

Geometry as extended XYZ:
```
4
Lattice="3.319 0.000 0.000 0.000 3.319 0.000 0.000 0.000 5.788" Properties=species:S:1:pos:R:3 pbc="T T T"
Si 1.660 1.660 4.302
Ta 0.000 0.000 5.685
Ta 1.660 1.660 1.477
W 0.000 0.000 3.006
```

# 10
TaSiW2 at its PBEsol-relaxed geometry. Source: Alexandria, functional SCAN.

Geometry as extended XYZ:
```
4
Lattice="2.755 0.000 0.000 0.000 2.755 0.000 0.000 0.000 8.130" Properties=species:S:1:pos:R:3 pbc="T T T"
Si 0.000 0.000 4.006
Ta 1.377 1.377 5.914
W 0.000 0.000 0.059
W 1.377 1.377 2.216
```

# 11
TaSi2W at its PBEsol-relaxed geometry. Source: Alexandria, functional SCAN.

Geometry as extended XYZ:
```
4
Lattice="3.777 0.000 0.000 0.000 3.777 0.000 -1.888 -1.888 4.098" Properties=species:S:1:pos:R:3 pbc="T T T"
Si 0.000 0.000 0.000
Si 1.888 0.000 2.049
Ta 1.888 1.888 0.000
W 0.000 1.888 2.049
```

## Properties
- offset from the most stable computed form (eV per formula unit) = 0.00

# 12
YTaSi2 at its PBEsol-relaxed geometry. Source: Alexandria, functional SCAN.

Geometry as extended XYZ:
```
4
Lattice="-2.257 3.113 0.758 -4.781 -1.027 0.118 -2.403 -0.310 4.250" Properties=species:S:1:pos:R:3 pbc="T T T"
Si -6.000 -0.267 3.500
Si -3.441 2.043 1.626
Ta -1.128 1.557 0.379
Y -3.592 -0.669 2.184
```

## Properties
- offset from the most stable computed form (eV per formula unit) = 0.00

| no. | formation energy from raw total energies (eV/atom) |
| --- | --- |
| 1 | 0.5374 |
| 2 | -0.3359 |
| 3 | -0.3743 |
| 4 | -0.1297 |
| 5 | 0.0797 |
| 6 | -0.0256 |
| 7 | 0.0874 |
| 8 | 0.1106 |
| 9 | -0.1314 |
| 10 | 0.2252 |
| 11 | 0.0359 |
| 12 | -0.1800 |